Model one:
# K8Sb2S (PBE, optimized geometry)
# DOS at the Fermi energy: 9.9 states/eV/f.u.
data_K8Sb2S
_cell_length_a 5.971
_cell_length_b 9.167
_cell_length_c 9.605
_cell_angle_alpha 110.15
_cell_angle_beta 90.00
_cell_angle_gamma 109.01
_space_group_name_H-M_alt 'P 1'
_space_group_IT_number 1
_space_group_name_Hall 'P 1'
loop_
_atom_site_label
_atom_site_type_symbol
_atom_site_fract_x
_atom_site_fract_y
_atom_site_fract_z
K1 K 0.520 0.039 0.328
K2 K 0.695 0.391 0.103
K3 K 0.823 0.645 0.499
K4 K 0.903 0.806 0.057
K5 K 0.177 0.355 0.501
K6 K 0.305 0.609 0.897
K7 K 0.480 0.961 0.672
K8 K 0.097 0.194 0.943
Sb1 Sb 0.691 0.382 0.717
Sb2 Sb 0.309 0.618 0.283
S1 S 0.500 0.000 0.000

Model two:
# K8Sb2S (PBE, optimized geometry)
# DOS at the Fermi energy: 0.3 states/eV/f.u.
data_K8Sb2S
_cell_length_a 5.882
_cell_length_b 7.846
_cell_length_c 10.664
_cell_angle_alpha 110.57
_cell_angle_beta 106.01
_cell_angle_gamma 90.00
_space_group_name_H-M_alt 'P 1'
_space_group_IT_number 1
_space_group_name_Hall 'P 1'
loop_
_atom_site_label
_atom_site_type_symbol
_atom_site_fract_x
_atom_site_fract_y
_atom_site_fract_z
K1 K 0.403 0.587 0.807
K2 K 0.653 0.949 0.307
K3 K 0.780 0.711 0.561
K4 K 0.988 0.220 0.977
K5 K 0.220 0.289 0.439
K6 K 0.347 0.051 0.693
K7 K 0.597 0.413 0.193
K8 K 0.012 0.780 0.023
Sb1 Sb 0.835 0.326 0.670
Sb2 Sb 0.165 0.674 0.330
S1 S 0.500 0.000 0.000

Q: Which of them is the least stable? A: model one.

Model one:
# K2SbS2 (PBE, optimized geometry)
# DOS at the Fermi energy: 4.3 states/eV/f.u.
data_K2SbS2
_cell_length_a 6.400
_cell_length_b 6.400
_cell_length_c 5.963
_cell_angle_alpha 57.55
_cell_angle_beta 57.55
_cell_angle_gamma 90.00
_space_group_name_H-M_alt 'P 1'
_space_group_IT_number 1
_space_group_name_Hall 'P 1'
loop_
_atom_site_label
_atom_site_type_symbol
_atom_site_fract_x
_atom_site_fract_y
_atom_site_fract_z
Sb1 Sb 0.000 0.000 0.000
K1 K 0.750 0.250 0.500
K2 K 0.250 0.750 0.500
S1 S 0.331 0.331 0.338
S2 S 0.669 0.669 0.662

Model two:
# K2SbS2 (PBE, optimized geometry)
# DOS at the Fermi energy: 1.4 states/eV/f.u.
data_K2SbS2
_cell_length_a 7.695
_cell_length_b 7.695
_cell_length_c 4.578
_cell_angle_alpha 90.00
_cell_angle_beta 90.00
_cell_angle_gamma 90.00
_space_group_name_H-M_alt 'P 1'
_space_group_IT_number 1
_space_group_name_Hall 'P 1'
loop_
_atom_site_label
_atom_site_type_symbol
_atom_site_fract_x
_atom_site_fract_y
_atom_site_fract_z
Sb1 Sb 0.000 0.000 0.000
Sb2 Sb 0.500 0.500 0.000
K1 K 0.138 0.638 0.500
K2 K 0.638 0.862 0.500
K3 K 0.862 0.362 0.500
K4 K 0.362 0.138 0.500
S1 S 0.321 0.821 0.000
S2 S 0.821 0.679 0.000
S3 S 0.679 0.179 0.000
S4 S 0.179 0.321 0.000

Q: Which of them is the least stable? A: model one.

Model one:
Entry from Alexandria: KSb5S8 after structural relaxation (PBE).

Structure (CIF):
```
data_KSb5S8
_cell_length_a 3.925
_cell_length_b 10.783
_cell_length_c 9.628
_cell_angle_alpha 104.09
_cell_angle_beta 101.76
_cell_angle_gamma 90.00
_space_group_name_H-M_alt 'P 1'
_space_group_IT_number 1
_space_group_name_Hall 'P 1'
loop_
_atom_site_label
_atom_site_type_symbol
_atom_site_fract_x
_atom_site_fract_y
_atom_site_fract_z
K1 K 0.507 0.508 0.014
Sb1 Sb 0.305 0.631 0.609
Sb2 Sb 0.701 0.296 0.401
Sb3 Sb 0.335 0.026 0.669
Sb4 Sb 0.638 0.895 0.276
Sb5 Sb 0.014 0.076 0.028
S1 S 0.195 0.119 0.391
S2 S 0.763 0.849 0.526
S3 S 0.184 0.471 0.368
S4 S 0.860 0.530 0.721
S5 S 0.088 0.746 0.175
S6 S 0.910 0.185 0.820
S7 S 0.438 0.914 0.876
S8 S 0.563 0.254 0.126
```

Model two:
Entry from Alexandria: KSb5S8 after structural relaxation (PBE).

Structure (CIF):
```
data_KSb5S8
_cell_length_a 8.651
_cell_length_b 9.150
_cell_length_c 19.719
_cell_angle_alpha 90.00
_cell_angle_beta 90.00
_cell_angle_gamma 89.85
_space_group_name_H-M_alt 'P 1'
_space_group_IT_number 1
_space_group_name_Hall 'P 1'
loop_
_atom_site_label
_atom_site_type_symbol
_atom_site_fract_x
_atom_site_fract_y
_atom_site_fract_z
K1 K 0.313 0.766 0.051
K2 K 0.813 0.266 0.949
K3 K 0.516 0.502 0.446
K4 K 0.016 0.002 0.554
Sb1 Sb 0.935 0.464 0.153
Sb2 Sb 0.435 0.964 0.847
Sb3 Sb 0.270 0.297 0.045
Sb4 Sb 0.770 0.797 0.955
Sb5 Sb 0.971 0.027 0.130
Sb6 Sb 0.471 0.527 0.870
Sb7 Sb 0.938 0.705 0.369
Sb8 Sb 0.438 0.205 0.631
Sb9 Sb 0.294 0.506 0.262
Sb10 Sb 0.794 0.006 0.738
Sb11 Sb 0.621 0.754 0.216
Sb12 Sb 0.121 0.254 0.784
Sb13 Sb 0.262 0.949 0.287
Sb14 Sb 0.762 0.449 0.713
Sb15 Sb 0.533 0.048 0.461
Sb16 Sb 0.033 0.548 0.539
Sb17 Sb 0.918 0.228 0.350
Sb18 Sb 0.418 0.728 0.650
Sb19 Sb 0.594 0.201 0.230
Sb20 Sb 0.094 0.701 0.770
S1 S 0.069 0.487 0.037
S2 S 0.569 0.987 0.963
S3 S 0.831 0.806 0.082
S4 S 0.331 0.306 0.918
S5 S 0.111 0.075 0.019
S6 S 0.611 0.575 0.981
S7 S 0.834 0.714 0.492
S8 S 0.334 0.214 0.508
S9 S 0.104 0.501 0.405
S10 S 0.604 0.001 0.595
S11 S 0.137 0.296 0.197
S12 S 0.637 0.796 0.803
S13 S 0.095 0.681 0.227
S14 S 0.595 0.181 0.773
S15 S 0.475 0.543 0.162
S16 S 0.975 0.043 0.838
S17 S 0.110 0.915 0.397
S18 S 0.610 0.415 0.603
S19 S 0.452 0.753 0.323
S20 S 0.952 0.253 0.677
S21 S 0.766 0.212 0.460
S22 S 0.266 0.712 0.540
S23 S 0.409 0.160 0.341
S24 S 0.909 0.660 0.659
S25 S 0.288 0.529 0.722
S26 S 0.788 0.029 0.278
S27 S 0.251 0.911 0.707
S28 S 0.751 0.411 0.293
S29 S 0.277 0.722 0.888
S30 S 0.777 0.222 0.112
S31 S 0.969 0.454 0.832
S32 S 0.469 0.954 0.168
```

Q: Which of them is the least stable? A: model one.

Model one:
# KSbTe2S (PBE, optimized geometry)
# DOS at the Fermi energy: 7.5 states/eV/f.u.
data_KSbTe2S
_cell_length_a 6.049
_cell_length_b 6.049
_cell_length_c 6.127
_cell_angle_alpha 90.00
_cell_angle_beta 90.00
_cell_angle_gamma 90.00
_space_group_name_H-M_alt 'P 1'
_space_group_IT_number 1
_space_group_name_Hall 'P 1'
loop_
_atom_site_label
_atom_site_type_symbol
_atom_site_fract_x
_atom_site_fract_y
_atom_site_fract_z
Sb1 Sb 0.000 0.000 0.500
K1 K 0.000 0.000 0.000
Te1 Te 0.000 0.500 0.000
Te2 Te 0.500 0.000 0.000
S1 S 0.500 0.500 0.500

Model two:
# KSbTe2S (PBE, optimized geometry)
# DOS at the Fermi energy: 2.1 states/eV/f.u.
data_KSbTe2S
_cell_length_a 5.485
_cell_length_b 5.485
_cell_length_c 5.359
_cell_angle_alpha 90.00
_cell_angle_beta 90.00
_cell_angle_gamma 90.00
_space_group_name_H-M_alt 'P 1'
_space_group_IT_number 1
_space_group_name_Hall 'P 1'
loop_
_atom_site_label
_atom_site_type_symbol
_atom_site_fract_x
_atom_site_fract_y
_atom_site_fract_z
Sb1 Sb 0.000 0.000 0.500
K1 K 0.500 0.500 0.500
Te1 Te 0.000 0.500 0.000
Te2 Te 0.500 0.000 0.000
S1 S 0.000 0.000 0.000

Q: Which of them is the least stable? A: model one.

Model one:
# K3ScS3 (PBE, optimized geometry)
# DOS at the Fermi energy: 0.0 states/eV/f.u.
data_K3ScS3
_cell_length_a 7.990
_cell_length_b 7.990
_cell_length_c 7.744
_cell_angle_alpha 95.64
_cell_angle_beta 95.64
_cell_angle_gamma 114.25
_space_group_name_H-M_alt 'P 1'
_space_group_IT_number 1
_space_group_name_Hall 'P 1'
loop_
_atom_site_label
_atom_site_type_symbol
_atom_site_fract_x
_atom_site_fract_y
_atom_site_fract_z
K1 K 0.615 0.615 0.362
K2 K 0.182 0.818 0.500
K3 K 0.818 0.182 0.500
K4 K 0.250 0.750 0.000
K5 K 0.750 0.250 0.000
K6 K 0.385 0.385 0.638
Sc1 Sc 0.824 0.824 0.857
Sc2 Sc 0.176 0.176 0.143
S1 S 0.899 0.899 0.185
S2 S 0.840 0.546 0.728
S3 S 0.546 0.840 0.728
S4 S 0.160 0.454 0.272
S5 S 0.454 0.160 0.272
S6 S 0.101 0.101 0.815

Model two:
# K3ScS3 (PBE, optimized geometry)
# DOS at the Fermi energy: 0.0 states/eV/f.u.
data_K3ScS3
_cell_length_a 7.940
_cell_length_b 8.272
_cell_length_c 13.489
_cell_angle_alpha 90.00
_cell_angle_beta 90.00
_cell_angle_gamma 101.90
_space_group_name_H-M_alt 'P 1'
_space_group_IT_number 1
_space_group_name_Hall 'P 1'
loop_
_atom_site_label
_atom_site_type_symbol
_atom_site_fract_x
_atom_site_fract_y
_atom_site_fract_z
K1 K 0.716 0.391 0.888
K2 K 0.784 0.109 0.388
K3 K 0.284 0.609 0.112
K4 K 0.216 0.891 0.612
K5 K 0.856 0.474 0.622
K6 K 0.644 0.026 0.122
K7 K 0.144 0.526 0.378
K8 K 0.356 0.974 0.878
K9 K 0.284 0.457 0.825
K10 K 0.216 0.043 0.325
K11 K 0.716 0.543 0.175
K12 K 0.784 0.957 0.675
Sc1 Sc 0.389 0.340 0.567
Sc2 Sc 0.111 0.160 0.067
Sc3 Sc 0.611 0.660 0.433
Sc4 Sc 0.889 0.840 0.933
S1 S 0.035 0.858 0.097
S2 S 0.465 0.642 0.597
S3 S 0.965 0.142 0.903
S4 S 0.535 0.358 0.403
S5 S 0.413 0.269 0.045
S6 S 0.087 0.231 0.545
S7 S 0.587 0.731 0.955
S8 S 0.913 0.769 0.455
S9 S 0.516 0.201 0.697
S10 S 0.984 0.299 0.197
S11 S 0.484 0.799 0.303
S12 S 0.016 0.701 0.803

Q: Which of them is the least stable? A: model two.

Model one:
# K2Sc2S (PBE, optimized geometry)
# DOS at the Fermi energy: 2.3 states/eV/f.u.
data_K2Sc2S
_cell_length_a 6.843
_cell_length_b 6.843
_cell_length_c 6.978
_cell_angle_alpha 90.00
_cell_angle_beta 90.00
_cell_angle_gamma 90.00
_space_group_name_H-M_alt 'P 1'
_space_group_IT_number 1
_space_group_name_Hall 'P 1'
loop_
_atom_site_label
_atom_site_type_symbol
_atom_site_fract_x
_atom_site_fract_y
_atom_site_fract_z
Sc1 Sc 0.334 0.834 0.000
Sc2 Sc 0.834 0.666 0.000
Sc3 Sc 0.666 0.166 0.000
Sc4 Sc 0.166 0.334 0.000
K1 K 0.189 0.689 0.500
K2 K 0.689 0.811 0.500
K3 K 0.811 0.311 0.500
K4 K 0.311 0.189 0.500
S1 S 0.000 0.000 0.000
S2 S 0.500 0.500 0.000

Model two:
# K2Sc2S (PBE, optimized geometry)
# DOS at the Fermi energy: 3.9 states/eV/f.u.
data_K2Sc2S
_cell_length_a 3.906
_cell_length_b 3.906
_cell_length_c 9.943
_cell_angle_alpha 78.67
_cell_angle_beta 78.67
_cell_angle_gamma 90.00
_space_group_name_H-M_alt 'P 1'
_space_group_IT_number 1
_space_group_name_Hall 'P 1'
loop_
_atom_site_label
_atom_site_type_symbol
_atom_site_fract_x
_atom_site_fract_y
_atom_site_fract_z
Sc1 Sc 0.428 0.428 0.144
Sc2 Sc 0.572 0.572 0.856
K1 K 0.750 0.250 0.500
K2 K 0.250 0.750 0.500
S1 S 0.000 0.000 0.000

Q: Which of them is the least stable? A: model two.

Model one:
# K3ScS (PBE, optimized geometry)
# DOS at the Fermi energy: 4.0 states/eV/f.u.
data_K3ScS
_cell_length_a 6.149
_cell_length_b 6.149
_cell_length_c 6.149
_cell_angle_alpha 90.00
_cell_angle_beta 90.00
_cell_angle_gamma 90.00
_space_group_name_H-M_alt 'P 1'
_space_group_IT_number 1
_space_group_name_Hall 'P 1'
loop_
_atom_site_label
_atom_site_type_symbol
_atom_site_fract_x
_atom_site_fract_y
_atom_site_fract_z
Sc1 Sc 0.500 0.500 0.500
K1 K 0.000 0.500 0.000
K2 K 0.000 0.000 0.500
K3 K 0.500 0.000 0.000
S1 S 0.000 0.000 0.000

Model two:
# K3ScS (PBE, optimized geometry)
# DOS at the Fermi energy: 3.1 states/eV/f.u.
data_K3ScS
_cell_length_a 6.756
_cell_length_b 6.756
_cell_length_c 6.756
_cell_angle_alpha 90.00
_cell_angle_beta 90.00
_cell_angle_gamma 90.00
_space_group_name_H-M_alt 'P 1'
_space_group_IT_number 1
_space_group_name_Hall 'P 1'
loop_
_atom_site_label
_atom_site_type_symbol
_atom_site_fract_x
_atom_site_fract_y
_atom_site_fract_z
Sc1 Sc 0.000 0.000 0.000
K1 K 0.000 0.500 0.000
K2 K 0.000 0.000 0.500
K3 K 0.500 0.000 0.000
S1 S 0.500 0.500 0.500

Q: Which of them is the least stable? A: model two.

Model one:
Entry from Alexandria: K2SeS after structural relaxation (PBE).

Structure (CIF):
```
data_K2SeS
_cell_length_a 4.559
_cell_length_b 6.961
_cell_length_c 8.511
_cell_angle_alpha 90.00
_cell_angle_beta 90.00
_cell_angle_gamma 109.12
_space_group_name_H-M_alt 'P 1'
_space_group_IT_number 1
_space_group_name_Hall 'P 1'
loop_
_atom_site_label
_atom_site_type_symbol
_atom_site_fract_x
_atom_site_fract_y
_atom_site_fract_z
K1 K 0.627 0.254 0.005
K2 K 0.373 0.746 0.995
K3 K 0.373 0.746 0.505
K4 K 0.627 0.254 0.495
Se1 Se 0.012 0.023 0.250
Se2 Se 0.988 0.977 0.750
S1 S 0.186 0.373 0.250
S2 S 0.814 0.627 0.750
```

Model two:
# K2SeS (PBE, optimized geometry)
# DOS at the Fermi energy: 2.4 states/eV/f.u.
data_K2SeS
_cell_length_a 5.525
_cell_length_b 5.525
_cell_length_c 5.525
_cell_angle_alpha 60.00
_cell_angle_beta 60.00
_cell_angle_gamma 60.00
_space_group_name_H-M_alt 'P 1'
_space_group_IT_number 1
_space_group_name_Hall 'P 1'
loop_
_atom_site_label
_atom_site_type_symbol
_atom_site_fract_x
_atom_site_fract_y
_atom_site_fract_z
K1 K 0.250 0.250 0.250
K2 K 0.750 0.750 0.750
S1 S 0.000 0.000 0.000
Se1 Se 0.500 0.500 0.500

Model three:
Entry from Alexandria: K2SeS after structural relaxation (PBE).

Structure (CIF):
```
data_K2SeS
_cell_length_a 6.553
_cell_length_b 7.228
_cell_length_c 10.857
_cell_angle_alpha 93.36
_cell_angle_beta 90.00
_cell_angle_gamma 90.00
_space_group_name_H-M_alt 'P 1'
_space_group_IT_number 1
_space_group_name_Hall 'P 1'
loop_
_atom_site_label
_atom_site_type_symbol
_atom_site_fract_x
_atom_site_fract_y
_atom_site_fract_z
K1 K 0.239 0.868 0.906
K2 K 0.739 0.632 0.594
K3 K 0.761 0.132 0.094
K4 K 0.261 0.368 0.406
K5 K 0.237 0.899 0.345
K6 K 0.737 0.601 0.155
K7 K 0.763 0.101 0.655
K8 K 0.263 0.399 0.845
Se1 Se 0.739 0.774 0.885
Se2 Se 0.239 0.726 0.615
Se3 Se 0.261 0.226 0.115
Se4 Se 0.761 0.274 0.385
S1 S 0.260 0.042 0.639
S2 S 0.760 0.458 0.861
S3 S 0.740 0.958 0.361
S4 S 0.240 0.542 0.139
```

Model four:
# K2SeS (PBE, optimized geometry)
# DOS at the Fermi energy: 0.5 states/eV/f.u.
data_K2SeS
_cell_length_a 11.603
_cell_length_b 11.603
_cell_length_c 8.614
_cell_angle_alpha 47.66
_cell_angle_beta 47.66
_cell_angle_gamma 90.00
_space_group_name_H-M_alt 'P 1'
_space_group_IT_number 1
_space_group_name_Hall 'P 1'
loop_
_atom_site_label
_atom_site_type_symbol
_atom_site_fract_x
_atom_site_fract_y
_atom_site_fract_z
K1 K 0.403 0.125 0.250
K2 K 0.347 0.625 0.250
K3 K 0.375 0.597 0.750
K4 K 0.875 0.653 0.750
S1 S 0.500 0.500 0.000
S2 S 0.250 0.750 0.500
Se1 Se 0.000 0.000 0.000
Se2 Se 0.750 0.250 0.500

Q: Which of them is the least stable? A: model two.